This record from the Alexandria database describes a geometry-optimized SmHoHgRu structure. The functional is PBE.

Cell and atoms, written as CIF:
```
data_SmHoHgRu
_chemical_formula_sum 'Sm1 Ho1 Hg1 Ru1'
_symmetry_space_group_name_H-M 'P 1'
_symmetry_Int_Tables_number 1
_cell_length_a 3.502
_cell_length_b 3.502
_cell_length_c 7.601
_cell_angle_alpha 90.00
_cell_angle_beta 90.00
_cell_angle_gamma 90.00
loop_
_symmetry_equiv_pos_as_xyz
'x,y,z'
loop_
_atom_site_label
_atom_site_type_symbol
_atom_site_fract_x
_atom_site_fract_y
_atom_site_fract_z
_atom_site_occupancy
Sm1 Sm 0.000 0.000 0.000 1
Ho1 Ho 0.000 0.000 0.560 1
Hg1 Hg 0.500 0.500 0.291 1
Ru1 Ru 0.500 0.500 0.772 1
```

crystal system: tetragonal



This record from the Alexandria database describes a geometry-optimized SmHoHgRu structure. The functional is PBE.

Cell and atoms, written as CIF:
```
data_SmHoHgRu
_chemical_formula_sum 'Sm1 Ho1 Hg1 Ru1'
_symmetry_space_group_name_H-M 'P 1'
_symmetry_Int_Tables_number 1
_cell_length_a 5.070
_cell_length_b 5.070
_cell_length_c 5.070
_cell_angle_alpha 60.00
_cell_angle_beta 60.00
_cell_angle_gamma 60.00
loop_
_symmetry_equiv_pos_as_xyz
'x,y,z'
loop_
_atom_site_label
_atom_site_type_symbol
_atom_site_fract_x
_atom_site_fract_y
_atom_site_fract_z
_atom_site_occupancy
Sm1 Sm 0.000 0.000 0.000 1
Ho1 Ho 0.500 0.500 0.500 1
Hg1 Hg 0.250 0.250 0.250 1
Ru1 Ru 0.750 0.750 0.750 1
```

crystal system: cubic



This record from the Alexandria database describes a geometry-optimized HoThHgRu structure. The functional is PBE.

Cell and atoms, written as CIF:
```
data_HoThHgRu
_chemical_formula_sum 'Ho1 Th1 Hg1 Ru1'
_symmetry_space_group_name_H-M 'P 1'
_symmetry_Int_Tables_number 1
_cell_length_a 5.131
_cell_length_b 5.131
_cell_length_c 5.131
_cell_angle_alpha 60.00
_cell_angle_beta 60.00
_cell_angle_gamma 60.00
loop_
_symmetry_equiv_pos_as_xyz
'x,y,z'
loop_
_atom_site_label
_atom_site_type_symbol
_atom_site_fract_x
_atom_site_fract_y
_atom_site_fract_z
_atom_site_occupancy
Ho1 Ho 0.000 0.000 0.000 1
Th1 Th 0.500 0.500 0.500 1
Hg1 Hg 0.250 0.250 0.250 1
Ru1 Ru 0.750 0.750 0.750 1
```

crystal system: cubic



no.,magnetic moment (Bohr magnetons per cell),formation enthalpy at 0 K (eV per atom)
1,0.0,-0.437
2,0.0,-0.322
3,0.0,-0.289